[1]
DFT (PBE-GGA) results for an optimized crystal structure of Y2MgZn2Ni5.

As for the size of the total moment: 0.0 Bohr magnetons per cell. The calculation puts the raw total energy at -4.847 eV per atom. As for the volume: 15.87 Å³ per atom. For the formation enthalpy at 0 K, the calculation gives -2.49 eV per formula unit.

The space group is P4/mbm (No. 127) and the conventional cell measures 9.3472, 9.3472 and 3.6324 Å, with angles of 90.00, 90.00 and 90.00 degrees. The inequivalent atoms are Y at (0.1797, 0.3203, 0.0000), Mg at (0.0000, 0.0000, 0.0000), Zn at (0.1161, 0.6161, 0.0000), Ni at (0.0000, 0.5000, 0.5000) and Ni at (0.0635, 0.7867, 0.5000).

---

[2]
DFT (PBE-GGA) results for an optimized crystal structure of LaMoBr2.

As for the size of the total moment: 2.8 Bohr magnetons per cell. The calculation puts the distance to the lowest polymorph of the same formula at 341 meV per atom. The calculation puts the raw total energy at -4.877 eV per atom. The uncorrected formation energy comes out at -0.101 eV/atom. As for the volume: 25.22 Å³ per atom.

The space group is Pmmm (No. 47) and the conventional cell measures 3.6230, 4.7836 and 5.8204 Å, with angles of 90.00, 90.00 and 90.00 degrees. The inequivalent atoms are La at (0.0000, 0.0000, 0.0000), Mo at (0.5000, 0.0000, 0.5000), Br at (0.0000, 0.5000, 0.5000) and Br at (0.5000, 0.5000, 0.0000).

---

[3]
DFT (PBE-GGA) results for an optimized crystal structure of Cs2CaI3Cl.

As for the size of the total moment: 0.0 Bohr magnetons per cell. The calculation puts the raw total energy at -3.210 eV per atom. The uncorrected formation energy comes out at -1.752 eV/atom. As for the volume: 47.83 Å³ per atom.

The space group is Immm (No. 71) and the conventional cell measures 5.4419, 6.2092 and 19.8168 Å, with angles of 90.00, 90.00 and 90.00 degrees. The inequivalent atoms are Cs at (0.0000, 0.0000, 0.1435), Ca at (0.0000, 0.0000, 0.5000), I at (0.0000, 0.0000, 0.3397), I at (0.0000, 0.5000, 0.5000) and Cl at (0.0000, 0.5000, 0.0000).

---

[4]
DFT (PBE-GGA) results for an optimized crystal structure of ScGaCoPd.

As for the size of the total moment: 3.4 Bohr magnetons per cell. The calculation puts the raw total energy at -6.005 eV per atom. As for the volume: 14.92 Å³ per atom. For the formation enthalpy at 0 K, the calculation gives -2.36 eV per formula unit.

The space group is F-43m (No. 216) and the conventional cell measures 6.2036, 6.2036 and 6.2036 Å, with angles of 90.00, 90.00 and 90.00 degrees. The inequivalent atoms are Sc at (0.0000, 0.0000, 0.0000), Ga at (0.0000, 0.0000, 0.5000), Co at (0.2500, 0.2500, 0.2500) and Pd at (0.2500, 0.2500, 0.7500).

---

[5]
DFT (PBE-GGA) results for an optimized crystal structure of Pm2Zn5In.

As for the size of the total moment: 0.0 Bohr magnetons per cell. The calculation puts the raw total energy at -2.685 eV per atom. As for the volume: 20.91 Å³ per atom. For the formation enthalpy at 0 K, the calculation gives -2.87 eV per formula unit.

The space group is Cmcm (No. 63) and the conventional cell measures 4.4617, 16.5094 and 9.0844 Å, with angles of 90.00, 90.00 and 90.00 degrees. The inequivalent atoms are Pm at (0.0000, 0.0000, 0.0000), Pm at (0.0000, 0.2056, 0.2500), Zn at (0.0000, 0.1858, 0.6086), Zn at (0.0000, 0.3452, 0.5167), Zn at (0.0000, 0.3952, 0.2500) and In at (0.0000, 0.4447, 0.7500).

---

[6]
DFT (PBE-GGA) results for an optimized crystal structure of Lu2InTc.

As for the size of the total moment: 0.0 Bohr magnetons per cell. The calculation puts the distance to the lowest polymorph of the same formula at 106 meV per atom. The calculation puts the raw total energy at -5.744 eV per atom. As for the volume: 21.72 Å³ per atom. For the formation enthalpy at 0 K, the calculation gives -0.83 eV per formula unit.

The space group is Fm-3m (No. 225) and the conventional cell measures 7.0301, 7.0301 and 7.0301 Å, with angles of 90.00, 90.00 and 90.00 degrees. The inequivalent atoms are Lu at (0.2500, 0.2500, 0.2500), In at (0.0000, 0.0000, 0.0000) and Tc at (0.0000, 0.0000, 0.5000).

---

[7]
DFT (PBE-GGA) results for an optimized crystal structure of Cd2InRh.

As for the size of the total moment: 0.0 Bohr magnetons per cell. The calculation puts the raw total energy at -3.089 eV per atom. As for the volume: 18.97 Å³ per atom. For the formation enthalpy at 0 K, the calculation gives -0.44 eV per formula unit.

The space group is I-4m2 (No. 119) and the conventional cell measures 4.1873, 4.1873 and 8.6535 Å, with angles of 90.00, 90.00 and 90.00 degrees. The inequivalent atoms are Cd at (0.0000, 0.0000, 0.0000), Cd at (0.0000, 0.5000, 0.2500), In at (0.0000, 0.5000, 0.7500) and Rh at (0.0000, 0.0000, 0.5000).

---

[8]
DFT (PBE-GGA) results for an optimized crystal structure of Ba2Ag.

As for the size of the total moment: 0.0 Bohr magnetons per cell. The calculation puts the distance to the lowest polymorph of the same formula at 46 meV per atom. The calculation puts the raw total energy at -2.364 eV per atom. As for the volume: 48.48 Å³ per atom. For the formation enthalpy at 0 K, the calculation gives -0.39 eV per formula unit.

The space group is Pa-3 (No. 205) and the conventional cell measures 8.3481, 8.3481 and 8.3481 Å, with angles of 90.00, 90.00 and 90.00 degrees. The inequivalent atoms are Ba at (0.1636, 0.1636, 0.1636) and Ag at (0.0000, 0.0000, 0.5000).

---

[9]
DFT (PBE-GGA) results for an optimized crystal structure of Ti5Co2MoPd2.

As for the size of the total moment: 0.0 Bohr magnetons per cell. The calculation puts the raw total energy at -7.697 eV per atom. As for the volume: 15.34 Å³ per atom. For the formation enthalpy at 0 K, the calculation gives -2.06 eV per formula unit.

The space group is P4/mbm (No. 127) and the conventional cell measures 9.8408, 9.8408 and 3.1679 Å, with angles of 90.00, 90.00 and 90.00 degrees. The inequivalent atoms are Ti at (0.0000, 0.5000, 0.0000), Ti at (0.0790, 0.1986, 0.0000), Co at (0.1257, 0.3743, 0.5000), Mo at (0.0000, 0.0000, 0.5000) and Pd at (0.1702, 0.6702, 0.5000).

---

[10]
DFT (PBE-GGA) results for an optimized crystal structure of Rb2BaTaBr6.

As for the size of the total moment: 12.0 Bohr magnetons per cell. The calculation puts the raw total energy at -3.877 eV per atom. The uncorrected formation energy comes out at -1.302 eV/atom. As for the volume: 39.34 Å³ per atom.

The space group is Fm-3m (No. 225) and the conventional cell measures 11.6312, 11.6312 and 11.6312 Å, with angles of 90.00, 90.00 and 90.00 degrees. The inequivalent atoms are Rb at (0.2500, 0.2500, 0.2500), Ba at (0.0000, 0.0000, 0.0000), Ta at (0.0000, 0.0000, 0.5000) and Br at (0.0000, 0.0000, 0.2696).

---

[11]
DFT (PBE-GGA) results for an optimized crystal structure of LiTlS2.

As for the size of the total moment: 0.0 Bohr magnetons per cell. The calculation puts the raw total energy at -3.469 eV per atom. The uncorrected formation energy comes out at -0.335 eV/atom. As for the volume: 22.54 Å³ per atom.

The space group is Cmcm (No. 63) and the conventional cell measures 3.8405, 19.4666 and 4.8242 Å, with angles of 90.00, 90.00 and 90.00 degrees. The inequivalent atoms are Li at (0.0000, 0.0542, 0.2500), Tl at (0.0000, 0.3265, 0.2500), S at (0.0000, 0.0745, 0.7500) and S at (0.0000, 0.1978, 0.2500).